# 1
First-principles (PBE) data for crystalline NaTlCd2Hg2 at its relaxed geometry, as listed in Alexandria via LeMat-Bulk.

Values from the calculation:
**Formation energy from the elements**: -0.07 eV/atom

Structure (POSCAR):
```
NaTlCd2Hg2
1.0
4.793 0.000 0.000
0.000 9.499 0.000
0.000 0.000 6.750
Na Tl Cd Hg
2 2 4 4
direct
0.000 0.177 0.000
0.000 0.823 0.500
0.500 0.022 0.273
0.500 0.978 0.773
0.000 0.476 0.387
0.000 0.524 0.887
0.500 0.325 0.692
0.500 0.675 0.192
0.000 0.167 0.517
0.000 0.833 0.017
0.500 0.359 0.151
0.500 0.641 0.651
```

=====

# 2
First-principles (PBE) data for crystalline ErMg12 at its relaxed geometry, as listed in Alexandria via LeMat-Bulk.

Values from the calculation:
**Formation energy from the elements**: 0.00 eV/atom

Structure (POSCAR):
```
ErMg12
1.0
-5.090 5.090 2.979
5.090 -5.090 2.979
5.090 5.090 -2.979
Er Mg
1 12
direct
0.000 0.000 0.000
0.000 0.000 0.500
0.000 0.349 0.349
0.000 0.500 0.000
0.000 0.651 0.651
0.289 0.500 0.789
0.349 0.000 0.349
0.500 0.000 0.000
0.500 0.289 0.789
0.500 0.500 0.500
0.500 0.711 0.211
0.651 0.000 0.651
0.711 0.500 0.211
```

=====

# 3
First-principles (PBE) data for crystalline CsRb2SmCl6 at its relaxed geometry, as listed in Alexandria via LeMat-Bulk.

Values from the calculation:
**E_form (uncorrected)**: -2135 meV per atom

Structure (POSCAR):
```
CsRb2SmCl6
1.0
7.969 0.000 0.000
0.000 8.442 0.000
-7.826 0.000 11.364
Cs Rb Sm Cl
2 4 2 12
direct
0.000 0.000 0.000
0.000 0.500 0.500
0.214 0.070 0.743
0.214 0.430 0.243
0.786 0.570 0.757
0.786 0.930 0.257
0.500 0.000 0.500
0.500 0.500 0.000
0.168 0.173 0.439
0.168 0.327 0.939
0.258 0.736 0.414
0.258 0.764 0.914
0.423 0.068 0.285
0.423 0.432 0.785
0.577 0.568 0.215
0.577 0.932 0.715
0.742 0.236 0.086
0.742 0.264 0.586
0.832 0.673 0.061
0.832 0.827 0.561
```

=====

no.,total magnetic moment (μB/cell)
1,0.00
2,0.00
3,0.00